Crystalline Ba3In2Au7 at its relaxed geometry, computed with PBE.

Lattice parameters (Å, degrees): 4.801 4.801 15.303 99.03 99.03 90.00
Fractional coordinates of all 12 atoms:
Au 0.576 0.076 0.152
Ba 0.500 0.500 0.000
Au 0.424 0.924 0.848
Ba 0.326 0.326 0.652
Au 0.076 0.576 0.152
In 0.120 0.120 0.240
In 0.880 0.880 0.760
Au 0.785 0.785 0.571
Au 0.215 0.215 0.429
Ba 0.674 0.674 0.348
Au 0.000 0.000 0.000
Au 0.924 0.424 0.848

## Properties
Crystal system ... tetragonal
SG ... I4/mmm
ΔH_f (0 K) ... -448.3 meV per atom

=====

Crystalline KAlRu2 at its relaxed geometry, computed with PBE.

Lattice parameters (Å, degrees): 5.965 5.965 5.965 152.86 128.55 59.13
Fractional coordinates of all 4 atoms:
Al 0.542 0.542 0.000
K 0.242 0.742 0.500
Ru 0.757 0.257 0.500
Ru 0.958 0.958 0.000

## Properties
Crystal system ... orthorhombic
SG ... Imm2
ΔH_f (0 K) ... 747.3 meV per atom

=====

Crystalline Ti4VCo at its relaxed geometry, computed with PBE.

Lattice parameters (Å, degrees): 4.469 5.227 8.526 90.00 105.19 90.00
Each line ends with the local moment (μB).
Fractional coordinates of all 12 atoms:
Co 0.411 0.227 0.823  0.01
Co 0.589 0.727 0.177  0.01
Ti 0.449 0.799 0.898  -0.11
Ti 0.935 0.429 0.869  -0.04
Ti 0.551 0.299 0.102  -0.11
Ti 0.065 0.929 0.131  -0.04
Ti 0.728 0.532 0.455  -0.27
V 0.146 0.406 0.292  0.87
Ti 0.272 0.032 0.545  -0.27
V 0.854 0.906 0.708  0.87
Ti 0.684 0.040 0.368  -0.33
Ti 0.316 0.540 0.632  -0.33

## Properties
Crystal system ... orthorhombic
SG ... Cmc2_1
ΔH_f (0 K) ... 98.2 meV per atom